First-principles (PBE) data for an optimized crystal structure of RbAcAg2, as listed in Alexandria.

```
data_RbAcAg2
_chemical_formula_sum 'Rb1 Ac1 Ag2'
_symmetry_space_group_name_H-M 'P 4/m m m'
_symmetry_Int_Tables_number 123
_symmetry_space_group_name_Hall '-P 4 2'
_cell_length_a 5.892
_cell_length_b 5.892
_cell_length_c 3.798
_cell_angle_alpha 90.00
_cell_angle_beta 90.00
_cell_angle_gamma 90.00
loop_
_atom_site_label
_atom_site_type_symbol
_atom_site_fract_x
_atom_site_fract_y
_atom_site_fract_z
Rb1 Rb 0.000 0.000 0.000
Ac1 Ac 0.500 0.500 0.000
Ag1 Ag 0.000 0.500 0.500
```

## Properties
Calculated formation energy (eV/atom): 0.0219
DOS at the Fermi energy (states/eV/f.u.): 3.45
Total magnetic moment (μB per formula unit): 0.000